Crystalline SnMo2F8 at its relaxed geometry. Source: Alexandria via LeMat-Bulk, functional PBE+U.

Values from the calculation:
total DFT energy (no corrections) = -5.365 eV/atom
D(E_F) = 0.00 states/eV/cell

Unit cell a=10.8353 b=7.7900 c=4.3542 alpha=90.00 beta=91.86 gamma=90.00
Closest atoms and distances in Å follow each position.
Space group C2/m (No. 12)
Unique sites:
Sn 0.0000 0.0000 0.0000 [2 per cell]  6 F 2.39-2.42
Mo 0.1228 0.5000 0.2553 [4 per cell]  6 F 2.02-2.26
F 0.0859 0.5000 0.7528 [4 per cell]  3 Mo 2.21-2.26
F 0.1092 0.2367 0.2470 [8 per cell]  1 Mo 2.06
F 0.1909 0.0000 0.7401 [4 per cell]  1 Mo 2.02